--- i ---
This record from Alexandria via LeMat-Bulk describes a relaxed LiTh2Sc crystal. The functional is PBE-GGA.

Output
DOS at the Fermi energy in states/eV/cell: 5.9

abc: 5.355 5.355 5.355
angles: 60.00 60.00 60.00
Positions (direct):
Sc 0.000 0.000 0.000
Th 0.750 0.750 0.750
Th 0.250 0.250 0.250
Li 0.500 0.500 0.500



--- ii ---
This record from Alexandria via LeMat-Bulk describes a relaxed LiTh2Sc crystal. The functional is PBE-GGA.

Output
DOS at the Fermi energy in states/eV/cell: 5.5

abc: 3.570 5.524 5.524
angles: 90.00 90.00 90.00
Positions (direct):
Th 0.000 0.500 0.000
Th 0.000 0.000 0.500
Li 0.500 0.000 0.000
Sc 0.500 0.500 0.500



Q: Which of them is the most stable? A: ii.



--- i ---
This record from Alexandria via LeMat-Bulk describes a relaxed LiTh2Sc crystal. The functional is PBE-GGA.

Output
DOS at the Fermi energy in states/eV/cell: 3.0

abc: 3.416 3.416 9.419
angles: 90.00 90.00 90.00
Positions (direct):
Li 0.500 0.500 0.000
Th 0.000 0.000 0.756
Th 0.000 0.000 0.244
Sc 0.500 0.500 0.500



--- ii ---
This record from Alexandria via LeMat-Bulk describes a relaxed LiTh2Sc crystal. The functional is PBE-GGA.

Output
DOS at the Fermi energy in states/eV/cell: 4.6

abc: 3.366 3.366 12.381
angles: 82.19 82.19 60.00
Positions (direct):
Th 0.090 0.090 0.731
Th 0.910 0.910 0.269
Sc 0.500 0.500 0.500
Li 0.000 0.000 0.000



Q: Which of them is the most stable? A: i.



--- i ---
This record from Alexandria via LeMat-Bulk describes a relaxed LiScTi3 crystal. The functional is PBE-GGA.

Output
DOS at the Fermi energy in states/eV/cell: 9.6

abc: 4.562 4.562 4.562
angles: 90.00 90.00 90.00
Positions (direct):
Ti 0.000 0.000 0.500
Ti 0.000 0.500 0.000
Ti 0.500 0.000 0.000
Li 0.000 0.000 0.000
Sc 0.500 0.500 0.500



--- ii ---
This record from Alexandria via LeMat-Bulk describes a relaxed LiScTi3 crystal. The functional is PBE-GGA.

Output
DOS at the Fermi energy in states/eV/cell: 10.2

abc: 4.825 4.825 4.825
angles: 90.00 90.00 90.00
Positions (direct):
Ti 0.000 0.500 0.000
Ti 0.500 0.000 0.000
Ti 0.000 0.000 0.500
Sc 0.000 0.000 0.000
Li 0.500 0.500 0.500



Q: Which of them is the most stable? A: i.



--- i ---
This record from Alexandria via LeMat-Bulk describes a relaxed Li2ScTi2 crystal. The functional is PBE-GGA.

Output
DOS at the Fermi energy in states/eV/cell: 6.0

abc: 7.950 7.950 2.800
angles: 90.00 90.00 90.00
Positions (direct):
Li 0.619 0.119 0.000
Li 0.381 0.881 0.000
Li 0.119 0.381 0.000
Li 0.881 0.619 0.000
Ti 0.322 0.178 0.500
Ti 0.178 0.678 0.500
Ti 0.822 0.322 0.500
Ti 0.678 0.822 0.500
Sc 0.000 0.000 0.000
Sc 0.500 0.500 0.000



--- ii ---
This record from Alexandria via LeMat-Bulk describes a relaxed Li2ScTi2 crystal. The functional is PBE-GGA.

Output
DOS at the Fermi energy in states/eV/cell: 5.1

abc: 4.053 4.053 6.348
angles: 71.38 71.38 90.00
Positions (direct):
Sc 0.000 0.000 0.000
Ti 0.250 0.750 0.500
Ti 0.750 0.250 0.500
Li 0.593 0.593 0.814
Li 0.407 0.407 0.186



Q: Which of them is the most stable? A: i.



--- i ---
This record from Alexandria via LeMat-Bulk describes a relaxed LiScTi2 crystal. The functional is PBE-GGA.

Output
DOS at the Fermi energy in states/eV/cell: 7.0

abc: 4.714 4.714 4.714
angles: 60.00 60.00 60.00
Positions (direct):
Sc 0.500 0.500 0.500
Li 0.000 0.000 0.000
Ti 0.750 0.750 0.750
Ti 0.250 0.250 0.250



--- ii ---
This record from Alexandria via LeMat-Bulk describes a relaxed LiScTi2 crystal. The functional is PBE-GGA.

Output
DOS at the Fermi energy in states/eV/cell: 9.6

abc: 3.840 3.840 10.631
angles: 79.59 79.59 90.00
Positions (direct):
Li 0.250 0.750 0.500
Li 0.500 0.500 0.000
Sc 0.000 0.000 0.000
Sc 0.750 0.250 0.500
Ti 0.875 0.871 0.750
Ti 0.621 0.125 0.250
Ti 0.375 0.379 0.750
Ti 0.129 0.625 0.250



Q: Which of them is the most stable? A: i.



--- i ---
This record from Alexandria via LeMat-Bulk describes a relaxed LiScTl crystal. The functional is PBE-GGA.

Output
DOS at the Fermi energy in states/eV/cell: 9.9

abc: 4.743 8.211 6.429
angles: 90.00 90.00 90.00
Positions (direct):
Sc 0.250 0.750 0.500
Sc 0.250 0.750 0.000
Sc 0.750 0.250 0.500
Sc 0.750 0.250 0.000
Li 0.250 0.417 0.249
Li 0.750 0.917 0.251
Li 0.750 0.583 0.751
Li 0.250 0.083 0.749
Tl 0.250 0.417 0.750
Tl 0.250 0.083 0.250
Tl 0.750 0.917 0.750
Tl 0.750 0.583 0.250



--- ii ---
This record from Alexandria via LeMat-Bulk describes a relaxed LiScTl crystal. The functional is PBE-GGA.

Output
DOS at the Fermi energy in states/eV/cell: 4.9

abc: 4.805 4.805 4.805
angles: 60.00 60.00 60.00
Positions (direct):
Li 0.500 0.500 0.500
Tl 0.000 0.000 0.000
Sc 0.250 0.250 0.250



--- iii ---
This record from Alexandria via LeMat-Bulk describes a relaxed LiScTl crystal. The functional is PBE-GGA.

Output
DOS at the Fermi energy in states/eV/cell: 2.3

abc: 5.223 5.223 5.223
angles: 143.95 128.00 64.90
Positions (direct):
Sc 0.329 0.329 0.000
Li 0.002 0.002 0.000
Tl 0.669 0.669 0.000



--- iv ---
This record from Alexandria via LeMat-Bulk describes a relaxed LiScTl crystal. The functional is PBE-GGA.

Output
DOS at the Fermi energy in states/eV/cell: 2.8

abc: 6.663 4.878 3.490
angles: 90.01 90.01 43.04
Positions (direct):
Sc 0.000 0.500 0.000
Tl 0.000 0.000 0.500
Li 0.500 0.500 0.000



Q: Which of them is the most stable? A: i.



--- i ---
This record from Alexandria via LeMat-Bulk describes a relaxed LiScTl2 crystal. The functional is PBE-GGA.

Output
DOS at the Fermi energy in states/eV/cell: 2.6

abc: 5.786 5.786 5.786
angles: 135.84 135.84 64.23
Positions (direct):
Tl 0.000 0.000 0.000
Tl 0.250 0.750 0.500
Li 0.500 0.500 0.000
Sc 0.750 0.250 0.500



--- ii ---
This record from Alexandria via LeMat-Bulk describes a relaxed LiScTl2 crystal. The functional is PBE-GGA.

Output
DOS at the Fermi energy in states/eV/cell: 1.8

abc: 4.925 4.925 3.685
angles: 90.02 90.02 90.02
Positions (direct):
Li 0.500 0.000 0.500
Sc 0.000 0.500 0.500
Tl 0.500 0.500 0.000
Tl 0.000 0.000 0.000



--- iii ---
This record from Alexandria via LeMat-Bulk describes a relaxed LiScTl2 crystal. The functional is PBE-GGA.

Output
DOS at the Fermi energy in states/eV/cell: 2.0

abc: 3.500 3.463 8.037
angles: 64.43 90.00 90.00
Positions (direct):
Li 0.500 0.250 0.250
Tl 0.000 0.979 0.020
Tl 0.000 0.521 0.480
Sc 0.500 0.750 0.750



Q: Which of them is the most stable? A: ii.



--- i ---
This record from Alexandria via LeMat-Bulk describes a relaxed LiScTl2 crystal. The functional is PBE-GGA.

Output
DOS at the Fermi energy in states/eV/cell: 2.5

abc: 5.110 5.110 5.110
angles: 60.00 60.00 60.00
Positions (direct):
Li 0.500 0.500 0.500
Tl 0.000 0.000 0.000
Tl 0.250 0.250 0.250
Sc 0.750 0.750 0.750



--- ii ---
This record from Alexandria via LeMat-Bulk describes a relaxed LiScTl2 crystal. The functional is PBE-GGA.

Output
DOS at the Fermi energy in states/eV/cell: 3.4

abc: 5.854 5.854 5.102
angles: 74.08 74.08 34.29
Positions (direct):
Tl 0.996 0.996 0.928
Tl 0.254 0.254 0.321
Sc 0.742 0.742 0.820
Li 0.508 0.508 0.431



Q: Which of them is the most stable? A: ii.



--- i ---
This record from Alexandria via LeMat-Bulk describes a relaxed Li2ScTl2 crystal. The functional is PBE-GGA.

Output
DOS at the Fermi energy in states/eV/cell: 2.4

abc: 3.928 3.928 7.518
angles: 74.86 74.86 90.00
Positions (direct):
Li 0.750 0.250 0.500
Li 0.250 0.750 0.500
Sc 0.000 0.000 0.000
Tl 0.391 0.391 0.218
Tl 0.609 0.609 0.782



--- ii ---
This record from Alexandria via LeMat-Bulk describes a relaxed Li2ScTl2 crystal. The functional is PBE-GGA.

Output
DOS at the Fermi energy in states/eV/cell: 4.5

abc: 8.059 8.059 3.362
angles: 90.00 90.00 90.00
Positions (direct):
Li 0.157 0.657 0.500
Li 0.343 0.157 0.500
Li 0.843 0.343 0.500
Li 0.657 0.843 0.500
Tl 0.643 0.143 0.000
Tl 0.857 0.643 0.000
Tl 0.143 0.357 0.000
Tl 0.357 0.857 0.000
Sc 0.500 0.500 0.000
Sc 0.000 0.000 0.000



Q: Which of them is the most stable? A: i.



--- i ---
This record from Alexandria via LeMat-Bulk describes a relaxed Li2ScTl2 crystal. The functional is PBE-GGA.

Output
DOS at the Fermi energy in states/eV/cell: 5.6

abc: 4.667 5.239 10.608
angles: 64.43 77.29 63.55
Positions (direct):
Tl 0.914 0.297 0.375
Tl 0.586 0.203 0.125
Tl 0.414 0.797 0.875
Tl 0.086 0.703 0.625
Sc 0.750 0.250 0.750
Sc 0.250 0.750 0.250
Li 0.882 0.662 0.073
Li 0.618 0.838 0.427
Li 0.118 0.338 0.927
Li 0.382 0.162 0.573



--- ii ---
This record from Alexandria via LeMat-Bulk describes a relaxed Li2ScTl2 crystal. The functional is PBE-GGA.

Output
DOS at the Fermi energy in states/eV/cell: 6.1

abc: 8.009 8.009 3.173
angles: 90.00 90.00 90.00
Positions (direct):
Tl 0.818 0.318 0.500
Tl 0.682 0.818 0.500
Tl 0.318 0.182 0.500
Tl 0.182 0.682 0.500
Sc 0.000 0.000 0.000
Sc 0.500 0.500 0.000
Li 0.117 0.383 0.000
Li 0.617 0.117 0.000
Li 0.883 0.617 0.000
Li 0.383 0.883 0.000



Q: Which of them is the most stable? A: ii.



--- i ---
This record from Alexandria via LeMat-Bulk describes a relaxed Li2Sc2Tl crystal. The functional is PBE-GGA.

Output
DOS at the Fermi energy in states/eV/cell: 7.2

abc: 6.743 6.743 4.514
angles: 90.00 90.00 90.00
Positions (direct):
Sc 0.187 0.687 0.500
Sc 0.687 0.813 0.500
Sc 0.813 0.313 0.500
Sc 0.313 0.187 0.500
Li 0.626 0.126 0.000
Li 0.126 0.374 0.000
Li 0.874 0.626 0.000
Li 0.374 0.874 0.000
Tl 0.000 0.000 0.000
Tl 0.500 0.500 0.000



--- ii ---
This record from Alexandria via LeMat-Bulk describes a relaxed Li2Sc2Tl crystal. The functional is PBE-GGA.

Output
DOS at the Fermi energy in states/eV/cell: 11.6

abc: 8.055 8.055 3.487
angles: 90.00 90.00 90.00
Positions (direct):
Sc 0.641 0.141 0.000
Sc 0.859 0.641 0.000
Sc 0.141 0.359 0.000
Sc 0.359 0.859 0.000
Li 0.844 0.344 0.500
Li 0.344 0.156 0.500
Li 0.156 0.656 0.500
Li 0.656 0.844 0.500
Tl 0.500 0.500 0.000
Tl 0.000 0.000 0.000



Q: Which of them is the most stable? A: i.